# 1
# NaMgTe2O8

NaMgTe2O8 after structural relaxation (PBE-GGA, the Alexandria database).

Lattice parameters (Å, degrees): 5.6306 5.6306 6.5178 90.00 90.00 120.00
Space group P-3 (No. 147)
Asymmetric unit:
Na (0.0000, 0.0000, 0.0000) [1 per cell]
Mg (0.0000, 0.0000, 0.5000) [1 per cell]
Te (0.3333, 0.6667, 0.4472) [2 per cell]
O (0.0632, 0.3693, 0.6280) [6 per cell]
O (0.3333, 0.6667, 0.1587) [2 per cell]

## Properties
raw formation energy: -960 meV/atom
uncorrected energy: -60.38 eV per cell

---

# 2
# Na3Mg2TeO6

Na3Mg2TeO6 after structural relaxation (PBE-GGA, the Alexandria database).

Lattice parameters (Å, degrees): 5.463 9.462 5.782 90.00 108.37 90.00
Space group C2/m (No. 12)
Asymmetric unit:
Na (0.000, 0.000, 0.000) [2 per cell]
Na (0.000, 0.330, 0.000) [4 per cell]
Mg (0.000, 0.166, 0.500) [4 per cell]
Te (0.000, 0.500, 0.500) [2 per cell]
O (0.231, 0.338, 0.705) [8 per cell]
O (0.244, 0.000, 0.704) [4 per cell]

## Properties
raw formation energy: -1842 meV/atom
uncorrected energy: -124.29 eV per cell

---

# 3
# NaMg2Ti3O8

NaMg2Ti3O8 after structural relaxation (PBE-GGA, the Alexandria database).

Lattice parameters (Å, degrees): 6.0542 6.0542 15.1856 90.00 90.00 120.00
Space group R3m (No. 160, hexagonal axes)
Asymmetric unit:
Na (0.0000, 0.0000, 0.0000) [3 per cell]
Mg (0.0000, 0.0000, 0.2463) [3 per cell]
Mg (0.0000, 0.0000, 0.6237) [3 per cell]
Ti (0.1699, 0.3398, 0.4570) [9 per cell]
O (0.0000, 0.0000, 0.3842) [3 per cell]
O (0.0000, 0.0000, 0.8590) [3 per cell]
O (0.0439, 0.5219, 0.3860) [9 per cell]
O (0.1803, 0.3606, 0.2003) [9 per cell]

## Properties
raw formation energy: -2786 meV/atom
uncorrected energy: -320.57 eV per cell

---

# 4
# Na3Mg2TiO6

Na3Mg2TiO6 after structural relaxation (PBE-GGA, the Alexandria database).

Lattice parameters (Å, degrees): 5.324 9.219 5.694 90.00 108.24 90.00
Space group C2/m (No. 12)
Asymmetric unit:
Na (0.000, 0.000, 0.000) [2 per cell]
Na (0.000, 0.331, 0.000) [4 per cell]
Mg (0.000, 0.167, 0.500) [4 per cell]
Ti (0.000, 0.500, 0.500) [2 per cell]
O (0.225, 0.342, 0.702) [8 per cell]
O (0.248, 0.500, 0.300) [4 per cell]

## Properties
raw formation energy: -2227 meV/atom
uncorrected energy: -143.02 eV per cell

---

# 5
# Na2MgTi3O8

Na2MgTi3O8 after structural relaxation (PBE-GGA, the Alexandria database).

Lattice parameters (Å, degrees): 6.0499 6.0499 15.9054 90.00 90.00 120.00
Space group R3m (No. 160, hexagonal axes)
Asymmetric unit:
Na (0.0000, 0.0000, 0.0000) [3 per cell]
Na (0.0000, 0.0000, 0.3743) [3 per cell]
Mg (0.0000, 0.0000, 0.7621) [3 per cell]
Ti (0.0049, 0.5025, 0.8746) [9 per cell]
O (0.0000, 0.0000, 0.1394) [3 per cell]
O (0.0000, 0.0000, 0.6129) [3 per cell]
O (0.0214, 0.5107, 0.1404) [9 per cell]
O (0.1845, 0.3691, 0.9355) [9 per cell]

## Properties
raw formation energy: -2679 meV/atom
uncorrected energy: -315.27 eV per cell

---

# 6
# Na2MgTiO

Na2MgTiO after structural relaxation (PBE-GGA, the Alexandria database).

Lattice parameters (Å, degrees): 5.940 5.940 5.476 90.00 90.00 90.00
Space group P4/mmm (No. 123)
Asymmetric unit:
Na (0.000, 0.500, 0.000) [2 per cell]
Mg (0.000, 0.000, 0.500) [1 per cell]
Ti (0.000, 0.000, 0.000) [1 per cell]
O (0.500, 0.500, 0.500) [1 per cell]

## Properties
raw formation energy: 1312 meV/atom
uncorrected energy: -10.53 eV per cell

---

# 7
# NaMg30TiO32

NaMg30TiO32 after structural relaxation (PBE-GGA, the Alexandria database).

Lattice parameters (Å, degrees): 8.548 8.548 8.524 90.00 90.00 90.00
Space group P4/mmm (No. 123)
Asymmetric unit:
Na (0.000, 0.000, 0.000) [1 per cell]
Mg (0.000, 0.253, 0.246) [8 per cell]
Mg (0.000, 0.500, 0.000) [2 per cell]
Mg (0.000, 0.500, 0.500) [2 per cell]
Mg (0.249, 0.249, 0.000) [4 per cell]
Mg (0.250, 0.500, 0.249) [8 per cell]
Mg (0.251, 0.251, 0.500) [4 per cell]
Mg (0.500, 0.500, 0.000) [1 per cell]
Mg (0.500, 0.500, 0.500) [1 per cell]
Ti (0.000, 0.000, 0.500) [1 per cell]
O (0.000, 0.000, 0.269) [2 per cell]
O (0.000, 0.250, 0.500) [4 per cell]
O (0.000, 0.262, 0.000) [4 per cell]
O (0.000, 0.500, 0.253) [4 per cell]
O (0.249, 0.249, 0.251) [8 per cell]
O (0.250, 0.500, 0.500) [4 per cell]
O (0.252, 0.500, 0.000) [4 per cell]
O (0.500, 0.500, 0.251) [2 per cell]

## Properties
raw formation energy: -2673 meV/atom
uncorrected energy: -386.81 eV per cell

---

# 8
# NaMgTi4O8

NaMgTi4O8 after structural relaxation (PBE-GGA, the Alexandria database).

Lattice parameters (Å, degrees): 5.9539 5.9539 15.4806 90.00 90.00 120.00
Space group R3m (No. 160, hexagonal axes)
Asymmetric unit:
Na (0.0000, 0.0000, 0.0000) [3 per cell]
Mg (0.0000, 0.0000, 0.3749) [3 per cell]
Ti (0.0000, 0.0000, 0.6184) [3 per cell]
Ti (0.1681, 0.3361, 0.8305) [9 per cell]
O (0.0000, 0.0000, 0.2422) [3 per cell]
O (0.0000, 0.0000, 0.7432) [3 per cell]
O (0.0112, 0.5056, 0.7635) [9 per cell]
O (0.1675, 0.3349, 0.5742) [9 per cell]

## Properties
raw formation energy: -2719 meV/atom
uncorrected energy: -336.68 eV per cell

---

# 9
# Na3MgTl2O6

Na3MgTl2O6 after structural relaxation (PBE-GGA, the Alexandria database).

Lattice parameters (Å, degrees): 5.725 9.903 5.879 90.00 109.04 90.00
Space group C2/m (No. 12)
Asymmetric unit:
Na (0.000, 0.000, 0.000) [2 per cell]
Na (0.000, 0.334, 0.000) [4 per cell]
Mg (0.000, 0.500, 0.500) [2 per cell]
Tl (0.000, 0.167, 0.500) [4 per cell]
O (0.231, 0.341, 0.719) [8 per cell]
O (0.245, 0.500, 0.284) [4 per cell]

## Properties
raw formation energy: -1283 meV/atom
uncorrected energy: -110.87 eV per cell

---

# 10
# Na2MgTlO4

Na2MgTlO4 after structural relaxation (PBE-GGA, the Alexandria database).

Lattice parameters (Å, degrees): 5.564 3.291 5.797 90.00 107.69 90.00
Space group P2/m (No. 10)
Asymmetric unit:
Na (0.000, 0.000, 0.000) [1 per cell]
Na (0.500, 0.500, 0.000) [1 per cell]
Mg (0.000, 0.500, 0.500) [1 per cell]
Tl (0.500, 0.000, 0.500) [1 per cell]
O (0.230, 0.000, 0.707) [2 per cell]
O (0.242, 0.500, 0.278) [2 per cell]

## Properties
raw formation energy: -1394 meV/atom
uncorrected energy: -37.59 eV per cell

---

# 11
# NaMgUO4

NaMgUO4 after structural relaxation (PBE-GGA, the Alexandria database).

Lattice parameters (Å, degrees): 6.411 7.050 8.912 90.00 90.00 90.00
Space group Imma (No. 74)
Asymmetric unit:
Na (0.000, 0.250, 0.141) [4 per cell]
Mg (0.250, 0.250, 0.750) [4 per cell]
U (0.000, 0.000, 0.500) [4 per cell]
O (0.000, 0.044, 0.730) [8 per cell]
O (0.211, 0.250, 0.506) [8 per cell]

## Properties
raw formation energy: -2756 meV/atom
uncorrected energy: -213.31 eV per cell

---

# 12
# Na2MgUO6

Na2MgUO6 after structural relaxation (PBE-GGA, the Alexandria database).

Lattice parameters (Å, degrees): 8.182 8.182 8.182 90.00 90.00 90.00
Space group Fm-3m (No. 225)
Asymmetric unit:
Na (0.250, 0.250, 0.250) [8 per cell]
Mg (0.000, 0.000, 0.000) [4 per cell]
U (0.000, 0.000, 0.500) [4 per cell]
O (0.000, 0.000, 0.251) [24 per cell]

## Properties
raw formation energy: -2164 meV/atom
uncorrected energy: -267.63 eV per cell

---

# 13
# Na2Mg2UO6

Na2Mg2UO6 after structural relaxation (PBE-GGA, the Alexandria database).

Lattice parameters (Å, degrees): 5.562 9.453 5.949 90.00 110.39 90.00
Space group C2/m (No. 12)
Asymmetric unit:
Na (0.000, 0.179, 0.000) [4 per cell]
Mg (0.000, 0.336, 0.500) [4 per cell]
U (0.000, 0.000, 0.500) [2 per cell]
O (0.227, 0.168, 0.696) [8 per cell]
O (0.249, 0.500, 0.692) [4 per cell]

## Properties
raw formation energy: -2592 meV/atom
uncorrected energy: -150.76 eV per cell

---

# 14
# NaMg2UO6

NaMg2UO6 after structural relaxation (PBE-GGA, the Alexandria database).

Lattice parameters (Å, degrees): 5.4642 5.4642 14.7486 90.00 90.00 120.00
Space group R3 (No. 146, hexagonal axes)
Asymmetric unit:
Na (0.0000, 0.0000, 0.0000) [3 per cell]
Mg (0.0000, 0.0000, 0.2769) [3 per cell]
Mg (0.0000, 0.0000, 0.7899) [3 per cell]
U (0.0000, 0.0000, 0.4809) [3 per cell]
O (0.0040, 0.3242, 0.8792) [9 per cell]
O (0.0286, 0.6229, 0.0576) [9 per cell]

## Properties
raw formation energy: -2481 meV/atom
uncorrected energy: -211.06 eV per cell

---

# 15
# NaMgU2O8

NaMgU2O8 after structural relaxation (PBE-GGA, the Alexandria database).

Lattice parameters (Å, degrees): 5.263 5.263 10.313 90.00 90.00 90.00
Space group I-4 (No. 82)
Asymmetric unit:
Na (0.000, 0.000, 0.000) [2 per cell]
Mg (0.000, 0.500, 0.750) [2 per cell]
U (0.000, 0.000, 0.500) [2 per cell]
U (0.000, 0.500, 0.250) [2 per cell]
O (0.221, 0.738, 0.381) [8 per cell]
O (0.224, 0.761, 0.637) [8 per cell]

## Properties
raw formation energy: -2608 meV/atom
uncorrected energy: -192.89 eV per cell